Version w
This record from Alexandria via LeMat-Bulk describes crystalline Dy3NiAg at its relaxed geometry. The functional is PBE.

Output
Theoretical density, kg/m3: 8820

Structure (POSCAR):
```
Dy3NiAg
1.0
5.0342 -3.2370 0.0000
5.0342 3.2370 0.0000
-3.8826 0.0000 7.5568
Dy Ni Ag
6 2 2
Cartesian
-0.5635 0.0000 1.7124
0.2730 0.0000 5.1694
2.7191 0.0000 0.9572
3.4667 0.0000 6.5996
5.9128 0.0000 2.3874
6.7493 0.0000 5.8444
5.0342 1.2606 0.0000
5.0342 -1.2606 0.0000
3.0929 1.3993 3.7784
3.0929 -1.3993 3.7784
```


Version x
This record from Alexandria via LeMat-Bulk describes crystalline Dy3NiAg at its relaxed geometry. The functional is PBE.

Output
Theoretical density, kg/m3: 8675

Structure (POSCAR):
```
Dy3NiAg
1.0
6.0438 -2.6690 0.0000
6.0438 2.6690 0.0000
-3.5517 0.0000 7.7616
Dy Ni Ag
6 2 2
Cartesian
0.3831 0.0000 1.8241
-0.2283 0.0000 5.1623
4.3535 0.0000 0.8733
4.1825 0.0000 6.8883
8.7643 0.0000 2.5994
8.1528 0.0000 5.9376
-1.6172 0.0000 7.4436
10.1531 0.0000 0.3180
2.8227 0.0000 4.1207
5.7132 0.0000 3.6409
```


Which structure loses on stability? version x does.


Version w
This record from Alexandria via LeMat-Bulk describes crystalline Dy6NiAg2 at its relaxed geometry. The functional is PBE.

Output
Theoretical density, kg/m3: 8892

Structure (POSCAR):
```
Dy6NiAg2
1.0
-4.8031 4.8192 5.0402
4.8031 -4.8192 5.0402
4.8031 4.8192 -5.0402
Dy Ni Ag
12 2 4
Cartesian
4.8031 3.1715 -2.5517
3.1645 0.0000 2.2724
6.4418 0.0000 2.2724
2.2778 3.0424 0.0000
2.5253 -1.7768 5.0402
0.0000 1.6477 2.4885
4.8031 3.1715 2.5517
2.2778 6.5960 0.0000
2.5253 1.7768 5.0402
-1.6386 4.8192 2.7678
1.6386 4.8192 2.7678
0.0000 1.6477 7.5920
0.0000 4.8192 0.0000
0.0000 0.0000 5.0402
1.3323 0.0000 0.0000
8.2739 0.0000 0.0000
4.8031 1.4226 0.0000
0.0000 3.3966 5.0402
```


Version x
This record from Alexandria via LeMat-Bulk describes crystalline Dy6NiAg2 at its relaxed geometry. The functional is PBE.

Output
Theoretical density, kg/m3: 8445

Structure (POSCAR):
```
Dy6NiAg2
1.0
6.7331 0.0000 0.0000
0.0000 7.2664 0.0000
-6.0876 0.0000 10.0425
Dy Ni Ag
12 2 4
Cartesian
-0.7282 0.1003 2.5108
-3.7720 3.5329 7.5320
1.1079 4.9868 0.5633
-1.9359 5.9128 5.5845
2.1552 1.3450 0.5086
-0.8886 2.2882 5.5299
1.5342 4.9782 4.5126
-1.5096 5.9214 9.5339
2.5814 1.3536 4.4580
-0.4624 2.2796 9.4792
4.4175 3.7334 2.5105
1.3737 7.1661 7.5317
0.3228 0.0000 5.0212
3.3666 3.6332 0.0000
-2.4864 0.7853 7.5952
0.5574 2.8479 2.5740
0.0882 4.4185 7.4685
3.1320 6.4811 2.4473
```


Which structure loses on stability? version w does.


Version w
This record from Alexandria via LeMat-Bulk describes crystalline Dy3NiAg2 at its relaxed geometry. The functional is PBE.

Output
Theoretical density, kg/m3: 9377

Structure (POSCAR):
```
Dy3NiAg2
1.0
5.0216 0.0000 0.0000
-2.5108 4.3489 0.0000
0.0000 0.0000 6.1782
Dy Ni Ag
3 1 2
Cartesian
0.0000 0.0000 0.0000
0.0000 2.8993 4.0045
2.5108 1.4496 2.1737
0.0000 0.0000 3.0891
0.0000 2.8993 0.9508
2.5108 1.4496 5.2274
```


Version x
This record from Alexandria via LeMat-Bulk describes crystalline Dy3NiAg2 at its relaxed geometry. The functional is PBE.

Output
Theoretical density, kg/m3: 8399

Structure (POSCAR):
```
Dy3NiAg2
1.0
7.0015 -2.9022 0.0000
7.0015 2.9022 0.0000
-2.1363 0.0000 7.4136
Dy Ni Ag
6 2 4
Cartesian
6.4674 2.9021 1.8534
5.3992 -2.9021 5.5602
3.0942 0.0055 6.8997
4.1624 -0.0055 3.1929
7.7042 0.0055 4.2206
8.7724 -0.0055 0.5138
6.4674 -0.0001 1.8534
5.3992 0.0001 5.5602
1.3097 0.0059 4.3810
2.3778 -0.0059 0.6742
9.4888 0.0059 6.7393
10.5570 -0.0059 3.0326
```


Which structure loses on stability? version x does.